The following is a GGA+U calculation of a geometry-optimized SrAcV2O8 structure, from the Alexandria database.

Geometry as extended XYZ:
```
12
Lattice="5.8821 0.0000 0.0000 -2.9410 5.0940 0.0000 0.0000 0.0000 7.6116" Properties=species:S:1:pos:R:3 pbc="T T T"
Sr 0.0000 0.0000 0.0000
Ac 0.0000 0.0000 3.8058
V 0.0000 3.3960 6.1506
V 2.9410 1.6980 1.4611
O 0.0000 1.7262 5.5892
O -1.4461 4.2309 5.5892
O 0.0000 3.3960 0.2233
O 1.4950 0.8631 2.0224
O 1.4461 4.2309 5.5892
O 2.9410 1.6980 7.3883
O 4.3871 0.8631 2.0224
O 2.9410 3.3678 2.0224
```

Calculated total energy: -88.16 eV for the cell shown
SG: P-3m1, No. 164